The following is a PBE-GGA calculation of a relaxed structure of NaLaBr4, from the Alexandria database.

Lattice parameters (Å, degrees): 6.9071 4.5026 7.6714 90.00 94.80 90.00
Closest atoms and distances in Å follow each position.
Space group P2/m (No. 10)
One atom of each set of equivalent atoms:
Na 0.0000 0.0000 0.0000 x1  6 Br 3.00-3.17
La 0.0000 0.5000 0.5000 x1  6 Br 2.90-3.00
Br 0.2136 0.5000 0.1901 x2  1 La 2.90, 2 Na 3.00
Br 0.2378 0.0000 0.6646 x2  2 La 3.00, 1 Na 3.17

- calculated total energy (eV per atom) = -3.981
- relative energy among the computed polymorphs (eV per formula unit) = 0.00
- total moment (μB/f.u.) = 0.0
- D(E_F) (states/eV per cell) = 0.00
- calculated density (Mg/m³) = 3.4
- uncorrected formation energy (eV/atom) = -1.825